DFT (PBE) results for a relaxed structure of Y6C2SeS3.

Cell: 3.803 7.860 8.627 Å, 103.01 102.73 90.00°
Atoms (fractional coordinates):
Y 0.326 0.875 0.653
Y 0.676 0.565 0.352
Y 0.674 0.125 0.347
Y 0.018 0.271 0.037
Y 0.982 0.729 0.963
Y 0.324 0.435 0.648
C 0.831 0.664 0.662
C 0.169 0.336 0.338
Se 0.500 0.000 0.000
S 0.500 0.500 0.000
S 0.839 0.165 0.677
S 0.161 0.835 0.323

## Properties
The calculation puts the uncorrected formation energy at -1510 meV per atom. As for the space group: C2/m, No. 12. Its total energy is -91.2 eV per cell.